Version i
Material: KLa2Hf
Method: DFT, GGA-PBE
State: relaxed

Unit cell a=8.9564 b=8.9564 c=7.0752 alpha=90.00 beta=90.00 gamma=90.00
Closest atoms and distances in Å follow each position.
Sites, in units of the cell vectors:
1 K 0.0000 0.0000 0.0000  4 La 3.48, 2 Hf 3.54
2 K 0.0000 0.5000 0.2500  4 La 3.48, 2 Hf 3.54
3 K 0.5000 0.0000 0.7500  4 La 3.48, 2 Hf 3.54
4 K 0.5000 0.5000 0.5000  4 La 3.48, 2 Hf 3.54
5 La 0.2190 0.2500 0.6250  2 Hf 3.11
6 La 0.2500 0.7190 0.8750  2 Hf 3.11
7 La 0.2500 0.7810 0.3750  2 Hf 3.11
8 La 0.2810 0.2500 0.1250  2 Hf 3.11
9 La 0.7190 0.7500 0.1250  2 Hf 3.11
10 La 0.7500 0.2190 0.3750  2 Hf 3.11
11 La 0.7500 0.2810 0.8750  2 Hf 3.11
12 La 0.7810 0.7500 0.6250  2 Hf 3.11
13 Hf 0.0000 0.0000 0.5000  4 La 3.11
14 Hf 0.0000 0.5000 0.7500  4 La 3.11
15 Hf 0.5000 0.0000 0.2500  4 La 3.11
16 Hf 0.5000 0.5000 0.0000  4 La 3.11

Output
For the total magnetization, the calculation gives 0.00 μB per cell. The value obtained for the mass density is 5.80 g/cm³.



Version ii
Material: KLa2Hf
Method: DFT, GGA-PBE
State: relaxed

Unit cell a=8.1784 b=8.1784 c=8.1784 alpha=90.00 beta=90.00 gamma=90.00
Closest atoms and distances in Å follow each position.
Sites, in units of the cell vectors:
1 K 0.0000 0.0000 0.0000  8 La 3.54
2 K 0.0000 0.5000 0.5000  8 La 3.54
3 K 0.5000 0.0000 0.5000  8 La 3.54
4 K 0.5000 0.5000 0.0000  8 La 3.54
5 La 0.2500 0.2500 0.2500  4 Hf 3.54, 4 K 3.54
6 La 0.2500 0.2500 0.7500  4 Hf 3.54, 4 K 3.54
7 La 0.2500 0.7500 0.2500  4 Hf 3.54, 4 K 3.54
8 La 0.2500 0.7500 0.7500  4 Hf 3.54, 4 K 3.54
9 La 0.7500 0.2500 0.2500  4 Hf 3.54, 4 K 3.54
10 La 0.7500 0.2500 0.7500  4 Hf 3.54, 4 K 3.54
11 La 0.7500 0.7500 0.2500  4 Hf 3.54, 4 K 3.54
12 La 0.7500 0.7500 0.7500  4 Hf 3.54, 4 K 3.54
13 Hf 0.0000 0.0000 0.5000  8 La 3.54
14 Hf 0.0000 0.5000 0.0000  8 La 3.54
15 Hf 0.5000 0.0000 0.0000  8 La 3.54
16 Hf 0.5000 0.5000 0.5000  8 La 3.54

Output
For the total magnetization, the calculation gives 7.38 μB per cell. The value obtained for the mass density is 6.02 g/cm³.



Relative energies, unit meV/atom: version i 217; version ii 0



Version i
Material: KLaHf2Pb
Method: DFT, GGA-PBE
State: relaxed

Unit cell a=5.3914 b=5.3914 c=5.8548 alpha=90.00 beta=90.00 gamma=90.00
Closest atoms and distances in Å follow each position.
Sites, in units of the cell vectors:
1 K 0.0000 0.0000 0.0000  2 La 2.93
2 La 0.0000 0.0000 0.5000  4 Hf 2.70, 2 K 2.93
3 Hf 0.0000 0.5000 0.5000  2 La 2.70
4 Hf 0.5000 0.0000 0.5000  2 La 2.70
5 Pb 0.5000 0.5000 0.0000  4 K 3.81, 8 Hf 3.98

Output
For the total magnetization, the calculation gives 0.00 μB per cell. The value obtained for the mass density is 7.24 g/cm³.



Version ii
Material: KLaHf2Pb
Method: DFT, GGA-PBE
State: relaxed

Unit cell a=5.1824 b=5.1824 c=5.4012 alpha=90.00 beta=90.00 gamma=90.00
Closest atoms and distances in Å follow each position.
Sites, in units of the cell vectors:
1 K 0.0000 0.0000 0.0000  4 Hf 2.59, 2 La 2.70
2 La 0.0000 0.0000 0.5000  2 K 2.70
3 Hf 0.0000 0.5000 0.0000  2 K 2.59
4 Hf 0.5000 0.0000 0.0000  2 K 2.59
5 Pb 0.5000 0.5000 0.5000  4 La 3.66, 8 Hf 3.74

Output
For the total magnetization, the calculation gives 0.00 μB per cell. The value obtained for the mass density is 8.50 g/cm³.



Relative energies, unit meV/atom: version i 0; version ii 286



Version i
Material: KLiHf3
Method: DFT, GGA-PBE
State: relaxed

Unit cell a=5.0039 b=5.0039 c=5.0039 alpha=90.00 beta=90.00 gamma=90.00
Closest atoms and distances in Å follow each position.
Sites, in units of the cell vectors:
1 K 0.0000 0.0000 0.0000  12 Hf 3.54
2 Li 0.5000 0.5000 0.5000  6 Hf 2.50
3 Hf 0.0000 0.5000 0.5000  2 Li 2.50
4 Hf 0.5000 0.0000 0.5000  2 Li 2.50
5 Hf 0.5000 0.5000 0.0000  2 Li 2.50

Output
For the total magnetization, the calculation gives 0.00 μB per cell. The value obtained for the mass density is 7.71 g/cm³.



Version ii
Material: KLiHf3
Method: DFT, GGA-PBE
State: relaxed

Unit cell a=5.0083 b=5.0083 c=5.0083 alpha=90.00 beta=90.00 gamma=90.00
Closest atoms and distances in Å follow each position.
Sites, in units of the cell vectors:
1 K 0.0000 0.0000 0.0000  6 Hf 2.50
2 Li 0.5000 0.5000 0.5000  12 Hf 3.54
3 Hf 0.0000 0.0000 0.5000  2 K 2.50
4 Hf 0.0000 0.5000 0.0000  2 K 2.50
5 Hf 0.5000 0.0000 0.0000  2 K 2.50

Output
For the total magnetization, the calculation gives 1.01 μB per cell. The value obtained for the mass density is 7.69 g/cm³.



Relative energies, unit meV/atom: version i 0; version ii 874



Version i
Material: KHfMg3
Method: DFT, GGA-PBE
State: relaxed

Unit cell a=5.2077 b=5.2077 c=5.2077 alpha=90.00 beta=90.00 gamma=90.00
Closest atoms and distances in Å follow each position.
Sites, in units of the cell vectors:
1 K 0.0000 0.0000 0.0000  6 Mg 2.60
2 Hf 0.5000 0.5000 0.5000  12 Mg 3.68
3 Mg 0.0000 0.0000 0.5000  2 K 2.60
4 Mg 0.0000 0.5000 0.0000  2 K 2.60
5 Mg 0.5000 0.0000 0.0000  2 K 2.60

Output
For the total magnetization, the calculation gives 0.00 μB per cell. The value obtained for the mass density is 3.42 g/cm³.



Version ii
Material: KHfMg3
Method: DFT, GGA-PBE
State: relaxed

Unit cell a=5.8140 b=5.8140 c=5.8140 alpha=90.00 beta=90.00 gamma=90.00
Closest atoms and distances in Å follow each position.
Sites, in units of the cell vectors:
1 K 0.0000 0.0000 0.0000  12 Mg 4.11
2 Hf 0.5000 0.5000 0.5000  6 Mg 2.91
3 Mg 0.0000 0.5000 0.5000  2 Hf 2.91
4 Mg 0.5000 0.0000 0.5000  2 Hf 2.91
5 Mg 0.5000 0.5000 0.0000  2 Hf 2.91

Output
For the total magnetization, the calculation gives 1.76 μB per cell. The value obtained for the mass density is 2.45 g/cm³.



Relative energies, unit meV/atom: version i 599; version ii 0



Version i
Material: KHfMg2
Method: DFT, GGA-PBE
State: relaxed

Unit cell a=7.6315 b=7.6315 c=7.6315 alpha=90.00 beta=90.00 gamma=90.00
Closest atoms and distances in Å follow each position.
Sites, in units of the cell vectors:
1 K 0.0000 0.0000 0.0000  8 Mg 3.30
2 K 0.0000 0.5000 0.5000  8 Mg 3.30
3 K 0.5000 0.0000 0.5000  8 Mg 3.30
4 K 0.5000 0.5000 0.0000  8 Mg 3.30
5 Hf 0.0000 0.0000 0.5000  8 Mg 3.30
6 Hf 0.0000 0.5000 0.0000  8 Mg 3.30
7 Hf 0.5000 0.0000 0.0000  8 Mg 3.30
8 Hf 0.5000 0.5000 0.5000  8 Mg 3.30
9 Mg 0.2500 0.2500 0.2500  4 Hf 3.30, 4 K 3.30
10 Mg 0.2500 0.2500 0.7500  4 Hf 3.30, 4 K 3.30
11 Mg 0.2500 0.7500 0.2500  4 Hf 3.30, 4 K 3.30
12 Mg 0.2500 0.7500 0.7500  4 Hf 3.30, 4 K 3.30
13 Mg 0.7500 0.2500 0.2500  4 Hf 3.30, 4 K 3.30
14 Mg 0.7500 0.2500 0.7500  4 Hf 3.30, 4 K 3.30
15 Mg 0.7500 0.7500 0.2500  4 Hf 3.30, 4 K 3.30
16 Mg 0.7500 0.7500 0.7500  4 Hf 3.30, 4 K 3.30

Output
For the total magnetization, the calculation gives 0.00 μB per cell. The value obtained for the mass density is 3.98 g/cm³.



Version ii
Material: KHfMg2
Method: DFT, GGA-PBE
State: relaxed

Unit cell a=8.5280 b=8.5280 c=6.8401 alpha=90.00 beta=90.00 gamma=90.00
Closest atoms and distances in Å follow each position.
Sites, in units of the cell vectors:
1 K 0.0000 0.0000 0.0000  4 Mg 3.28, 2 Hf 3.42
2 K 0.0000 0.5000 0.2500  4 Mg 3.28, 2 Hf 3.42
3 K 0.5000 0.0000 0.7500  4 Mg 3.28, 2 Hf 3.42
4 K 0.5000 0.5000 0.5000  4 Mg 3.28, 2 Hf 3.42
5 Hf 0.0000 0.0000 0.5000  4 Mg 3.00
6 Hf 0.0000 0.5000 0.7500  4 Mg 3.00
7 Hf 0.5000 0.0000 0.2500  4 Mg 3.00
8 Hf 0.5000 0.5000 0.0000  4 Mg 3.00
9 Mg 0.2257 0.2500 0.6250  2 Hf 3.00, 2 K 3.28
10 Mg 0.2500 0.7257 0.8750  2 Hf 3.00, 2 K 3.28
11 Mg 0.2500 0.7743 0.3750  2 Hf 3.00, 2 K 3.28
12 Mg 0.2743 0.2500 0.1250  2 Hf 3.00, 2 K 3.28
13 Mg 0.7257 0.7500 0.1250  2 Hf 3.00, 2 K 3.28
14 Mg 0.7500 0.2257 0.3750  2 Hf 3.00, 2 K 3.28
15 Mg 0.7500 0.2743 0.8750  2 Hf 3.00, 2 K 3.28
16 Mg 0.7743 0.7500 0.6250  2 Hf 3.00, 2 K 3.28

Output
For the total magnetization, the calculation gives 4.01 μB per cell. The value obtained for the mass density is 3.55 g/cm³.



Relative energies, unit meV/atom: version i 0; version ii 295



Version i
Material: KHfMo2
Method: DFT, GGA-PBE
State: relaxed

Unit cell a=6.8642 b=6.8642 c=6.8642 alpha=90.00 beta=90.00 gamma=90.00
Closest atoms and distances in Å follow each position.
Sites, in units of the cell vectors:
1 K 0.0000 0.0000 0.0000  8 Mo 2.97
2 K 0.0000 0.5000 0.5000  8 Mo 2.97
3 K 0.5000 0.0000 0.5000  8 Mo 2.97
4 K 0.5000 0.5000 0.0000  8 Mo 2.97
5 Hf 0.0000 0.0000 0.5000  8 Mo 2.97
6 Hf 0.0000 0.5000 0.0000  8 Mo 2.97
7 Hf 0.5000 0.0000 0.0000  8 Mo 2.97
8 Hf 0.5000 0.5000 0.5000  8 Mo 2.97
9 Mo 0.2500 0.2500 0.2500  4 Hf 2.97, 4 K 2.97
10 Mo 0.2500 0.2500 0.7500  4 Hf 2.97, 4 K 2.97
11 Mo 0.2500 0.7500 0.2500  4 Hf 2.97, 4 K 2.97
12 Mo 0.2500 0.7500 0.7500  4 Hf 2.97, 4 K 2.97
13 Mo 0.7500 0.2500 0.2500  4 Hf 2.97, 4 K 2.97
14 Mo 0.7500 0.2500 0.7500  4 Hf 2.97, 4 K 2.97
15 Mo 0.7500 0.7500 0.2500  4 Hf 2.97, 4 K 2.97
16 Mo 0.7500 0.7500 0.7500  4 Hf 2.97, 4 K 2.97

Output
For the total magnetization, the calculation gives 0.00 μB per cell. The value obtained for the mass density is 8.41 g/cm³.



Version ii
Material: KHfMo2
Method: DFT, GGA-PBE
State: relaxed

Unit cell a=4.6666 b=4.6666 c=19.5091 alpha=90.00 beta=90.00 gamma=90.00
Closest atoms and distances in Å follow each position.
Sites, in units of the cell vectors:
1 K 0.0000 0.0000 0.0000  4 Hf 3.30, 4 Mo 3.31
2 K 0.0000 0.5000 0.2500  4 Hf 3.30, 4 Mo 3.31
3 K 0.5000 0.0000 0.7500  4 Hf 3.30, 4 Mo 3.31
4 K 0.5000 0.5000 0.5000  4 Hf 3.30, 4 Mo 3.31
5 Hf 0.0000 0.0000 0.5000  4 Mo 2.74
6 Hf 0.0000 0.5000 0.7500  4 Mo 2.74
7 Hf 0.5000 0.0000 0.2500  4 Mo 2.74
8 Hf 0.5000 0.5000 0.0000  4 Mo 2.74
9 Mo 0.0910 0.2500 0.6250  2 Mo 2.48, 2 Hf 2.74
10 Mo 0.2500 0.5910 0.8750  2 Mo 2.48, 2 Hf 2.74
11 Mo 0.2500 0.9090 0.3750  2 Mo 2.48, 2 Hf 2.74
12 Mo 0.4090 0.2500 0.1250  2 Mo 2.48, 2 Hf 2.74
13 Mo 0.5910 0.7500 0.1250  2 Mo 2.48, 2 Hf 2.74
14 Mo 0.7500 0.0910 0.3750  2 Mo 2.48, 2 Hf 2.74
15 Mo 0.7500 0.4090 0.8750  2 Mo 2.48, 2 Hf 2.74
16 Mo 0.9090 0.7500 0.6250  2 Mo 2.48, 2 Hf 2.74

Output
For the total magnetization, the calculation gives 0.00 μB per cell. The value obtained for the mass density is 6.40 g/cm³.



Relative energies, unit meV/atom: version i 0; version ii 106